DFT (PBE-GGA) results for a geometry-optimized K2BaW structure.

Unit cell a=7.137 b=13.905 c=4.046 alpha=90.00 beta=121.50 gamma=90.00
Space group C2/m (No. 12)
One atom of each set of equivalent atoms:
K1 0.250 0.250 0.000
Ba1 0.000 0.000 0.500
W1 0.000 0.500 0.500

Computed properties:
**Formation enthalpy at 0 K**: 1.452 eV/atom
**VASP energy**: -22.53 eV for the cell shown
**M_tot**: 3.75 μB per formula unit
**Calculated volume**: 42.8 Å³ per atom